P | # LiCa5, relaxed, DFT GGA-PBE
# Fermi-level density of states	6.771	states/eV/f.u.
# size of the total moment	0.00	Bohr magnetons per cell
data_LiCa5
_chemical_formula_sum 'Li2 Ca10'
_cell_length_a 4.6461
_cell_length_b 17.3218
_cell_length_c 5.7874
_cell_angle_alpha 90.00
_cell_angle_beta 90.00
_cell_angle_gamma 90.00
_space_group_name_H-M_alt 'C m m m'
_space_group_IT_number 65
_space_group_name_Hall '-C 2 2'
loop_
_atom_site_label
_atom_site_fract_x
_atom_site_fract_y
_atom_site_fract_z
_atom_site_occupancy
Li1 0.0000 0.0000 0.0000 1
Ca1 0.0000 0.1685 0.5000 1
Ca2 0.0000 0.3415 0.0000 1
Ca3 0.0000 0.5000 0.5000 1

Q | # LiCa5, relaxed, DFT GGA-PBE
# Fermi-level density of states	5.423	states/eV/f.u.
# size of the total moment	0.00	Bohr magnetons per cell
data_LiCa5
_chemical_formula_sum 'Li2 Ca10'
_cell_length_a 13.5071
_cell_length_b 4.0099
_cell_length_c 9.0789
_cell_angle_alpha 90.00
_cell_angle_beta 109.28
_cell_angle_gamma 90.00
_space_group_name_H-M_alt 'C 1 2/m 1'
_space_group_IT_number 12
_space_group_name_Hall '-C 2y'
loop_
_atom_site_label
_atom_site_fract_x
_atom_site_fract_y
_atom_site_fract_z
_atom_site_occupancy
Li1 0.0000 0.0000 0.0000 1
Ca1 0.0000 0.0000 0.5000 1
Ca2 0.1433 0.5000 0.8553 1
Ca3 0.1714 0.5000 0.3089 1

Which is most stable? The ranking, best first, is Q, P.

P | # Pr6Ag2Os, relaxed, DFT GGA-PBE
# Fermi-level density of states	7.810	states/eV/f.u.
# size of the total moment	0.00	Bohr magnetons per cell
data_Pr6Ag2Os
_chemical_formula_sum 'Pr24 Ag8 Os4'
_cell_length_a 9.9486
_cell_length_b 10.2762
_cell_length_c 10.3284
_cell_angle_alpha 90.00
_cell_angle_beta 90.00
_cell_angle_gamma 90.00
_space_group_name_H-M_alt 'I m m m'
_space_group_IT_number 71
_space_group_name_Hall '-I 2 2'
loop_
_atom_site_label
_atom_site_fract_x
_atom_site_fract_y
_atom_site_fract_z
_atom_site_occupancy
Pr1 0.0000 0.1652 0.2458 1
Pr2 0.1641 0.5000 0.2254 1
Pr3 0.2308 0.3177 0.5000 1
Ag1 0.0000 0.3551 0.0000 1
Ag2 0.1357 0.0000 0.5000 1
Os1 0.0000 0.0000 0.0000 1
Os2 0.0000 0.5000 0.5000 1

Q | # Pr6Ag2Os, relaxed, DFT GGA-PBE
# Fermi-level density of states	10.623	states/eV/f.u.
# size of the total moment	0.00	Bohr magnetons per cell
data_Pr6Ag2Os
_chemical_formula_sum 'Pr12 Ag4 Os2'
_cell_length_a 6.6372
_cell_length_b 8.0280
_cell_length_c 12.3129
_cell_angle_alpha 90.00
_cell_angle_beta 120.00
_cell_angle_gamma 90.00
_space_group_name_H-M_alt 'P 1 21/c 1'
_space_group_IT_number 14
_space_group_name_Hall '-P 2ybc'
loop_
_atom_site_label
_atom_site_fract_x
_atom_site_fract_y
_atom_site_fract_z
_atom_site_occupancy
Pr1 0.1109 0.1796 0.4486 1
Pr2 0.2952 0.6775 0.4366 1
Pr3 0.3771 0.0250 0.2488 1
Ag1 0.1708 0.1152 0.7478 1
Os1 0.0000 0.0000 0.0000 1

Which is most stable? The ranking, best first, is Q, P.

P | # BC2, relaxed, DFT GGA-PBE
# Fermi-level density of states	0.711	states/eV/f.u.
# size of the total moment	0.00	Bohr magnetons per cell
data_BC2
_chemical_formula_sum 'B4 C8'
_cell_length_a 2.5082
_cell_length_b 2.5082
_cell_length_c 12.0896
_cell_angle_alpha 90.00
_cell_angle_beta 90.00
_cell_angle_gamma 90.00
_space_group_name_H-M_alt 'I -4 m 2'
_space_group_IT_number 119
_space_group_name_Hall 'I -4 -2'
loop_
_atom_site_label
_atom_site_fract_x
_atom_site_fract_y
_atom_site_fract_z
_atom_site_occupancy
B1 0.0000 0.0000 0.1640 1
C1 0.0000 0.0000 0.5000 1
C2 0.0000 0.5000 0.2500 1
C3 0.0000 0.5000 0.5734 1

Q | # BC2, relaxed, DFT GGA-PBE
# Fermi-level density of states	0.606	states/eV/f.u.
# size of the total moment	0.00	Bohr magnetons per cell
data_BC2
_chemical_formula_sum 'B4 C8'
_cell_length_a 4.6954
_cell_length_b 2.5624
_cell_length_c 6.3509
_cell_angle_alpha 90.00
_cell_angle_beta 97.25
_cell_angle_gamma 90.00
_space_group_name_H-M_alt 'P 1 m 1'
_space_group_IT_number 6
_space_group_name_Hall 'P -2y'
loop_
_atom_site_label
_atom_site_fract_x
_atom_site_fract_y
_atom_site_fract_z
_atom_site_occupancy
B1 0.0000 0.0000 0.0000 1
B2 0.0839 0.0000 0.7351 1
B3 0.3810 0.0000 0.0669 1
B4 0.7177 0.0000 0.4225 1
C1 0.2193 0.5000 0.4067 1
C2 0.2501 0.5000 0.6492 1
C3 0.3638 0.0000 0.3249 1
C4 0.5506 0.5000 0.9890 1
C5 0.5624 0.5000 0.7494 1
C6 0.7251 0.0000 0.6890 1
C7 0.8520 0.5000 0.0936 1
C8 0.8945 0.5000 0.3273 1

Which is most stable? The ranking, best first, is Q, P.

P | # CsCaH2CF, relaxed, DFT GGA-PBE
# size of the total moment	0.00	Bohr magnetons per cell
data_CsCaH2CF
_chemical_formula_sum 'Cs1 Ca1 H2 C1 F1'
_cell_length_a 4.0663
_cell_length_b 4.7236
_cell_length_c 6.2946
_cell_angle_alpha 90.00
_cell_angle_beta 90.06
_cell_angle_gamma 90.00
_space_group_name_H-M_alt 'P 1 m 1'
_space_group_IT_number 6
_space_group_name_Hall 'P -2y'
loop_
_atom_site_label
_atom_site_fract_x
_atom_site_fract_y
_atom_site_fract_z
_atom_site_occupancy
Cs1 0.0000 0.0000 0.0000 1
Ca1 0.5014 0.5000 0.5082 1
H1 0.2823 0.0000 0.4741 1
H2 0.7225 0.0000 0.4720 1
C1 0.5010 0.0000 0.3635 1
F1 0.0017 0.5000 0.6786 1

Q | # CsCaH2CF, relaxed, DFT GGA-PBE
# size of the total moment	0.00	Bohr magnetons per cell
data_CsCaH2CF
_chemical_formula_sum 'Cs2 Ca2 H4 C2 F2'
_cell_length_a 6.6343
_cell_length_b 4.6993
_cell_length_c 7.3569
_cell_angle_alpha 90.00
_cell_angle_beta 94.53
_cell_angle_gamma 90.00
_space_group_name_H-M_alt 'C 1 m 1'
_space_group_IT_number 8
_space_group_name_Hall 'C -2y'
loop_
_atom_site_label
_atom_site_fract_x
_atom_site_fract_y
_atom_site_fract_z
_atom_site_occupancy
Cs1 0.0000 0.0000 0.0000 1
Ca1 0.3762 0.0000 0.5081 1
H1 0.1404 0.5000 0.2623 1
H2 0.3839 0.5000 0.3754 1
C1 0.2200 0.5000 0.4033 1
F1 0.3689 0.0000 0.8081 1

Which is most stable? The ranking, best first, is Q, P.